(1)
VASP calculation (GGA-PBE) on an optimized crystal structure of IrPt2.

Properties
- density (g cm⁻³) = 20.69
- VASP energy (eV/atom) = -6.83

The structure in POSCAR format:
```
IrPt2
1.0
2.6681 0.0000 0.7264
1.0359 4.9343 1.4584
-0.4655 -0.0012 6.9734
Pt Ir
4 2
Cartesian
1.8500 4.1803 3.7316 Pt
2.5385 1.2607 1.2025 Pt
0.7000 3.6725 7.9556 Pt
1.3885 0.7529 5.4265 Pt
2.6377 3.1426 6.1017 Ir
0.6009 1.7906 3.0564 Ir
```

=====

(2)
VASP calculation (GGA-PBE) on an optimized crystal structure of CdAu2O4.

Properties
- density (g cm⁻³) = 8.44
- VASP energy (eV/atom) = -4.08
- formation energy without anion corrections (meV per atom) = -178.0

The structure in POSCAR format:
```
CdAu2O4
1.0
-6.7016 -0.6032 -2.2137
-1.6899 -2.4491 -5.5498
-3.7991 -5.6852 1.7170
Au O Cd
4 8 2
Cartesian
-4.0275 -2.1047 -1.4039 Au
-9.8406 -6.7838 -5.1968 Au
-1.6838 -1.3031 -3.0551 Au
-8.8361 -7.2840 -2.4395 Au
-10.5412 -6.3726 -3.1970 O
-5.1863 -6.3803 -3.2949 O
-1.9782 -1.9105 -1.0982 O
-5.8618 -2.2543 -2.3743 O
-7.5004 -5.1148 -1.3513 O
-3.3323 -2.5163 -3.4054 O
-8.0093 -6.6287 -4.2206 O
-6.3371 -3.7709 -5.2393 O
-6.9350 -4.4443 -3.3006 Cd
-6.3333 -8.2103 -4.1117 Cd
```